Entry 1:
Li2FeRu | GGA-PBE | relaxed

Values from the calculation:
**Electronic total energy**: -5.18 eV/atom
**Formation energy**: 0.21 eV/atom

a = 9.328 Å, b = 9.328 Å, c = 9.328 Å
α = 16.02°, β = 16.02°, γ = 16.02°
Fractional positions:
Li: 0.249 0.249 0.249
Li: 0.751 0.751 0.751
Fe: 0.000 0.000 0.000
Ru: 0.500 0.500 0.500

---

Entry 2:
K2PrF6 | GGA-PBE | relaxed

Values from the calculation:
**Electronic total energy**: -5.07 eV/atom
**Formation energy from raw total energies**: -3.0483 eV per atom

a = 7.552 Å, b = 7.552 Å, c = 7.552 Å
α = 148.19°, β = 131.64°, γ = 59.06°
Fractional positions:
K: 0.170 0.170 0.000
K: 0.830 0.830 0.000
Pr: 0.500 0.500 0.000
F: 0.130 0.353 0.778
F: 0.286 0.000 0.286
F: 0.425 0.647 0.778
F: 0.575 0.353 0.222
F: 0.714 0.000 0.714
F: 0.870 0.647 0.222

---

Entry 3:
Sn3PS | GGA-PBE | relaxed

Values from the calculation:
**Electronic total energy**: -3.79 eV/atom
**Formation energy from raw total energies**: 0.5191 eV per atom

a = 5.277 Å, b = 5.277 Å, c = 5.277 Å
α = 90.00°, β = 90.00°, γ = 90.00°
Fractional positions:
Sn: 0.000 0.000 0.500
Sn: 0.000 0.500 0.000
Sn: 0.500 0.000 0.000
P: 0.000 0.000 0.000
S: 0.500 0.500 0.500

---

Entry 4:
Fe3Co5 | GGA-PBE | relaxed

Values from the calculation:
**Electronic total energy**: -7.60 eV/atom
**Formation energy**: 0.02 eV/atom

a = 2.822 Å, b = 4.008 Å, c = 8.020 Å
α = 90.00°, β = 90.00°, γ = 90.00°
Fractional positions:
Fe: 0.000 0.000 0.000
Fe: 0.000 0.500 0.249
Fe: 0.500 0.000 0.254
Co: 0.000 0.000 0.505
Co: 0.000 0.500 0.742
Co: 0.500 0.000 0.757
Co: 0.500 0.500 0.497
Co: 0.500 0.500 0.998

---

Entry 5:
Cd2Ag7Hg | GGA-PBE | relaxed

Values from the calculation:
**Electronic total energy**: -1.96 eV/atom
**Formation energy**: 0.25 eV/atom

a = 8.414 Å, b = 8.414 Å, c = 4.297 Å
α = 90.00°, β = 90.00°, γ = 126.45°
Fractional positions:
Cd: 0.194 0.806 0.000
Cd: 0.806 0.194 0.000
Ag: 0.000 0.000 0.000
Ag: 0.215 0.415 0.000
Ag: 0.311 0.689 0.500
Ag: 0.415 0.215 0.000
Ag: 0.585 0.785 0.000
Ag: 0.689 0.311 0.500
Ag: 0.785 0.585 0.000
Hg: 0.500 0.500 0.500

---

Entry 6:
CdRe2Ag | GGA-PBE | relaxed

Values from the calculation:
**Electronic total energy**: -6.47 eV/atom
**Formation energy**: 0.70 eV/atom

a = 9.858 Å, b = 9.858 Å, c = 9.858 Å
α = 16.37°, β = 16.37°, γ = 16.37°
Fractional positions:
Cd: 0.000 0.000 0.000
Re: 0.249 0.249 0.249
Re: 0.751 0.751 0.751
Ag: 0.500 0.500 0.500

---

Entry 7:
KMn2SbCl8 | GGA-PBE | relaxed

Values from the calculation:
**Electronic total energy**: -4.28 eV/atom
**Formation energy from raw total energies**: -1.0847 eV per atom

a = 11.000 Å, b = 11.000 Å, c = 11.000 Å
α = 33.96°, β = 33.96°, γ = 33.96°
Fractional positions:
K: 0.000 0.000 0.000
Mn: 0.248 0.248 0.248
Mn: 0.752 0.752 0.752
Sb: 0.500 0.500 0.500
Cl: 0.130 0.429 0.772
Cl: 0.228 0.571 0.870
Cl: 0.321 0.321 0.321
Cl: 0.429 0.772 0.130
Cl: 0.571 0.870 0.228
Cl: 0.679 0.679 0.679
Cl: 0.772 0.130 0.429
Cl: 0.870 0.228 0.571

---

Entry 8:
Ni4AsS | GGA-PBE | relaxed

Values from the calculation:
**Electronic total energy**: -5.51 eV/atom
**Formation energy from raw total energies**: -0.1881 eV per atom

a = 3.734 Å, b = 3.758 Å, c = 5.540 Å
α = 90.00°, β = 90.00°, γ = 90.00°
Fractional positions:
Ni: 0.000 0.000 0.235
Ni: 0.000 0.000 0.765
Ni: 0.500 0.500 0.237
Ni: 0.500 0.500 0.763
As: 0.500 0.000 0.500
S: 0.000 0.500 0.000

---

Question: Number 8 is which compound?
Answer: Ni4AsS